1.
Ba3EuB9O18 | Alexandria | PBE | optimized geometry; electronic total energy = -7.984 eV/atom; ρ = 3.9 g cm⁻³; calculated volume = 815.3 Å³ per cell
1.0
7.2909 0.0000 0.0000
-3.6454 6.3141 0.0000
0.0000 0.0000 17.7110
Ba Eu B O
6 2 18 36
Direct
0.0000 0.0000 0.2500
0.0000 0.0000 0.7500
0.3333 0.6667 0.1342
0.3333 0.6667 0.3658
0.6667 0.3333 0.6342
0.6667 0.3333 0.8658
0.0000 0.0000 0.0000
0.0000 0.0000 0.5000
0.1177 0.6221 0.7500
0.1634 0.4516 0.5839
0.1634 0.4516 0.9161
0.2882 0.8366 0.5839
0.2882 0.8366 0.9161
0.3779 0.4956 0.7500
0.4516 0.2882 0.0839
0.4516 0.2882 0.4161
0.4956 0.1177 0.2500
0.5044 0.8823 0.7500
0.5484 0.7118 0.5839
0.5484 0.7118 0.9161
0.6221 0.5044 0.2500
0.7118 0.1634 0.0839
0.7118 0.1634 0.4161
0.8366 0.5484 0.0839
0.8366 0.5484 0.4161
0.8823 0.3779 0.2500
0.0006 0.2535 0.5839
0.0006 0.2535 0.9161
0.0796 0.4128 0.2500
0.1246 0.6232 0.5836
0.1246 0.6232 0.9164
0.1675 0.4585 0.7500
0.2529 0.9994 0.5839
0.2529 0.9994 0.9161
0.2535 0.2529 0.0839
0.2535 0.2529 0.4161
0.2910 0.8325 0.7500
0.3332 0.9204 0.2500
0.3768 0.5014 0.5836
0.3768 0.5014 0.9164
0.4128 0.3332 0.7500
0.4585 0.2910 0.2500
0.4986 0.8754 0.5836
0.4986 0.8754 0.9164
0.5014 0.1246 0.0836
0.5014 0.1246 0.4164
0.5415 0.7090 0.7500
0.5872 0.6668 0.2500
0.6232 0.4986 0.0836
0.6232 0.4986 0.4164
0.6668 0.0796 0.7500
0.7090 0.1675 0.2500
0.7465 0.7471 0.5839
0.7465 0.7471 0.9161
0.7471 0.0006 0.0839
0.7471 0.0006 0.4161
0.8325 0.5415 0.2500
0.8754 0.3768 0.0836
0.8754 0.3768 0.4164
0.9204 0.5872 0.7500
0.9994 0.7465 0.0839
0.9994 0.7465 0.4161



2.
PuSb2Pb | Alexandria | PBE | optimized geometry; energy relative to the lowest polymorph listed for this composition = 0.110 eV/atom; ρ = 8.9 g cm⁻³; calculated volume = 130.3 Å³ per cell
1.0
2.2542 1.3014 7.4031
-2.2542 1.3014 7.4031
0.0000 -2.6029 7.4031
Pu Sb Pb
1 2 1
Direct
0.0000 0.0000 0.0000
0.2575 0.2575 0.2575
0.7425 0.7425 0.7425
0.5000 0.5000 0.5000



Look up the calculated volume of the first one.
815.3 Å³ per cell